(1)
meta-GGA SCAN Ba2HfMgSb, PBEsol geometry; E_form (uncorrected) = 0.760 eV/atom; DFT total energy = -36.04 eV per atom; crystal system = tetragonal; DOS at the Fermi energy = 1.4775 states/eV per atom; SG = No. 123
1.0
-1.4900 4.9138 0.1594
-3.6707 -0.9518 -4.9705
-4.7248 -1.5556 3.7871
Ba Mg Sb Hf
2 1 1 1
Direct
0.0000 0.5000 0.0000
0.0000 0.0000 0.5000
0.0000 0.0000 0.0000
0.5000 0.0000 0.0000
0.5000 0.5000 0.5000

---

(2)
meta-GGA SCAN KInTe4, PBEsol geometry; E_form (uncorrected) = -0.158 eV/atom; DFT total energy = -31.94 eV per atom; crystal system = cubic; DOS at the Fermi energy = 0.4604 states/eV per atom; SG = No. 216
1.0
6.4865 0.0000 0.0000
3.2432 5.6174 0.0000
3.2432 1.8725 5.2962
In Te K
1 4 1
Direct
0.7500 0.7500 0.7500
0.8733 0.3756 0.3756
0.3756 0.3756 0.8733
0.3756 0.3756 0.3756
0.3756 0.8733 0.3756
0.0000 0.0000 0.0000

---

(3)
meta-GGA SCAN Mg2AlIn, PBEsol geometry; DFT total energy = -12.82 eV per atom; crystal system = tetragonal; DOS at the Fermi energy = 0.3924 states/eV per atom; SG = No. 119; energy of formation = -0.05 eV/atom
1.0
-1.9210 2.4422 3.0027
-2.4278 -3.3710 1.1885
5.2902 -0.7333 0.8720
In Al Mg
1 1 2
Direct
0.2500 0.7500 0.5000
0.5000 0.5000 0.0000
0.7500 0.2500 0.5000
0.0000 0.0000 0.0000

---

(4)
meta-GGA SCAN TaReAg2, PBEsol geometry; offset from the most stable computed form = 0.00 eV/f.u.; DFT total energy = -49.83 eV per atom; crystal system = tetragonal; DOS at the Fermi energy = 0.3048 states/eV per atom; SG = No. 99; energy of formation = 0.27 eV/atom
1.0
3.2953 0.0000 0.0000
0.0000 3.2953 0.0000
0.0000 0.0000 6.0348
Ag Re Ta
2 1 1
Direct
0.0000 0.0000 0.0100
0.5000 0.5000 0.2418
0.0000 0.0000 0.5195
0.5000 0.5000 0.7286

---

(5)
meta-GGA SCAN Nb3HgF, PBEsol geometry; E_form (uncorrected) = 1.935 eV/atom; DFT total energy = -32.28 eV per atom; crystal system = cubic; DOS at the Fermi energy = 1.4452 states/eV per atom; SG = No. 221
1.0
-0.8043 -4.9864 0.2623
2.4990 -0.6320 -4.3515
4.3230 -0.5624 2.5643
Hg Nb F
1 3 1
Direct
0.0000 0.0000 0.0000
0.0000 0.5000 0.0000
0.0000 0.0000 0.5000
0.5000 0.0000 0.0000
0.5000 0.5000 0.5000

---

(6)
meta-GGA SCAN Zr5Ag, PBEsol geometry; offset from the most stable computed form = 0.00 eV/f.u.; DFT total energy = -30.84 eV per atom; crystal system = tetragonal; DOS at the Fermi energy = 1.0042 states/eV per atom; SG = No. 123; energy of formation = -0.03 eV/atom
1.0
-0.7416 -2.9325 -0.8512
2.6802 -1.0449 1.2645
-5.9804 -1.7477 11.2315
Zr Ag
5 1
Direct
0.5000 0.5000 0.1732
0.0000 0.0000 0.3443
0.0000 0.0000 0.0000
0.5000 0.5000 0.8268
0.0000 0.0000 0.6557
0.5000 0.5000 0.5000

---

(7)
meta-GGA SCAN Y2ZrCu, PBEsol geometry; offset from the most stable computed form = 0.00 eV/f.u.; DFT total energy = -25.46 eV per atom; crystal system = tetragonal; DOS at the Fermi energy = 0.8919 states/eV per atom; SG = No. 123; energy of formation = -0.07 eV/atom
1.0
3.3503 0.0000 0.0000
0.0000 3.3503 0.0000
0.0000 0.0000 8.1579
Cu Zr Y
1 1 2
Direct
0.5000 0.5000 0.5000
0.5000 0.5000 0.0000
0.0000 0.0000 0.7170
0.0000 0.0000 0.2830

---

(8)
meta-GGA SCAN Rb2NbAgSe4, PBEsol geometry; E_form (uncorrected) = -1.061 eV/atom; DFT total energy = -24.35 eV per atom; crystal system = orthorhombic; DOS at the Fermi energy = 0.0000 states/eV per atom; SG = No. 70
1.0
6.0032 0.0000 0.0000
3.0016 6.8953 0.0000
3.0016 0.0000 12.0496
Se Rb Nb Ag
8 4 2 2
Direct
0.9799 0.7083 0.3826
0.4382 0.7917 0.8826
0.6375 0.2917 0.3826
0.1125 0.2083 0.1174
0.7701 0.7917 0.1174
0.3118 0.7083 0.6174
0.6792 0.2083 0.8826
0.0708 0.2917 0.6174
0.6810 0.0000 0.6380
0.4310 0.5000 0.1380
0.3190 0.0000 0.3620
0.0690 0.5000 0.8620
0.5000 0.0000 0.0000
0.2500 0.5000 0.5000
0.7500 0.5000 0.5000
0.0000 0.0000 0.0000

---

(9)
meta-GGA SCAN ReAsSe, PBEsol geometry; E_form (uncorrected) = 0.661 eV/atom; DFT total energy = -36.46 eV per atom; crystal system = trigonal; DOS at the Fermi energy = 0.6974 states/eV per atom; SG = No. 156
1.0
2.8803 0.0000 0.0000
0.0000 4.4770 0.0000
0.0000 -2.2385 3.8772
Se As Re
1 1 1
Direct
0.5301 0.3333 0.6667
0.8218 0.0000 0.0000
0.6481 0.6667 0.3333

---

(10)
meta-GGA SCAN Sc4Pt, PBEsol geometry; DFT total energy = -26.06 eV per atom; crystal system = tetragonal; DOS at the Fermi energy = 0.8925 states/eV per atom; SG = No. 87; energy of formation = -0.63 eV/atom
1.0
-2.5475 1.9336 1.1130
-3.9625 0.1843 -4.2382
-3.7544 -3.5239 2.6804
Sc Pt
4 1
Direct
0.7687 0.6467 0.8160
0.2313 0.3533 0.1840
0.5846 0.1840 0.6467
0.4154 0.8160 0.3533
0.0000 0.0000 0.0000

---

(11)
meta-GGA SCAN CaIrPb2, PBEsol geometry; DFT total energy = -58.10 eV per atom; crystal system = tetragonal; DOS at the Fermi energy = 0.4701 states/eV per atom; SG = No. 123; energy of formation = -0.02 eV/atom
1.0
-2.7643 0.3442 2.1206
-1.2912 -3.0281 -1.1917
3.6362 -3.6491 5.3323
Pb Ir Ca
2 1 1
Direct
0.0000 0.0000 0.7073
0.0000 0.0000 0.2927
0.5000 0.5000 0.5000
0.5000 0.5000 0.0000

---

(12)
meta-GGA SCAN P2C, PBEsol geometry; offset from the most stable computed form = 1.57 eV/f.u.; DFT total energy = -9.06 eV per atom; crystal system = trigonal; DOS at the Fermi energy = 0.3361 states/eV per atom; SG = No. 164; energy of formation = 1.24 eV/atom
1.0
2.7473 0.0000 0.0000
-1.3736 2.3792 0.0000
0.0000 0.0000 5.7158
C P
1 2
Direct
0.0000 0.0000 0.0000
0.3333 0.6667 0.2225
0.6667 0.3333 0.7775

---

(13)
meta-GGA SCAN InPPt2, PBEsol geometry; DFT total energy = -46.15 eV per atom; crystal system = tetragonal; DOS at the Fermi energy = 0.3856 states/eV per atom; SG = No. 123; energy of formation = -0.11 eV/atom
1.0
3.1116 0.0000 0.0000
0.0000 3.1116 0.0000
0.0000 0.0000 6.5576
Pt P In
2 1 1
Direct
0.0000 0.0000 0.2841
0.0000 0.0000 0.7159
0.5000 0.5000 0.5000
0.5000 0.5000 0.0000

---

(14)
meta-GGA SCAN BeCrO4, PBEsol geometry; E_form (uncorrected) = -2.102 eV/atom; DFT total energy = -10.05 eV per atom; crystal system = monoclinic; DOS at the Fermi energy = 0.0000 states/eV per atom; SG = No. 12
1.0
5.6556 -0.0009 -0.0008
1.5029 6.9229 -0.0060
1.5029 0.7491 6.8823
Cr O Be
4 16 4
Direct
0.0000 0.2354 0.7646
0.3833 0.7186 0.7186
0.6167 0.2814 0.2814
0.0000 0.7646 0.2354
0.9024 0.7856 0.4580
0.9024 0.4580 0.7856
0.4325 0.7708 0.4825
0.5675 0.5175 0.2292
0.4325 0.4825 0.7708
0.5782 0.8070 0.8070
0.0976 0.2144 0.5420
0.0976 0.5420 0.2144
0.9067 0.1870 0.1870
0.2582 0.1663 0.8775
0.2582 0.8775 0.1663
0.7418 0.8337 0.1225
0.4218 0.1930 0.1930
0.5675 0.2292 0.5175
0.0933 0.8130 0.8130
0.7418 0.1225 0.8337
0.2083 0.1165 0.1165
0.5000 0.2468 0.7532
0.7917 0.8835 0.8835
0.5000 0.7532 0.2468